No. 1
This record from Alexandria describes an optimized crystal structure of Er2AlSi3Rh4. The functional is PBE.

Results
**ρ**: 8.5 Mg/m³
**Total energy**: -6.901 eV per atom

Cell lengths 4.093, 4.093, 9.979 Å; angles 90.00, 90.00, 90.00 degrees
Space group P-4m2 (No. 115)
Inequivalent atoms, fractional coordinates:
Er1 0.000 0.500 0.249 [2 per cell]
Al1 0.000 0.000 0.500 [1 per cell]
Si1 0.000 0.500 0.872 [2 per cell]
Si2 0.500 0.500 0.500 [1 per cell]
Rh1 0.000 0.000 0.000 [1 per cell]
Rh2 0.000 0.500 0.637 [2 per cell]
Rh3 0.500 0.500 0.000 [1 per cell]


No. 2
This record from Alexandria describes an optimized crystal structure of NpCu2O7. The functional is PBE.

Results
**ρ**: 6.6 Mg/m³
**Total energy**: -6.693 eV per atom

Cell lengths 10.242, 6.725, 8.319 Å; angles 90.00, 123.71, 90.00 degrees
Space group C2/c (No. 15)
Inequivalent atoms, fractional coordinates:
Np1 0.000 0.153 0.250 [4 per cell]
Cu1 0.165 0.358 0.783 [8 per cell]
O1 0.000 0.456 0.250 [4 per cell]
O2 0.013 0.195 0.551 [8 per cell]
O3 0.121 0.138 0.948 [8 per cell]
O4 0.211 0.154 0.330 [8 per cell]


No. 3
This record from Alexandria describes an optimized crystal structure of Zr2TlVH. The functional is PBE.

Results
**ρ**: 8.8 Mg/m³
**Total energy**: -6.468 eV per atom

Cell lengths 4.567, 4.567, 3.972 Å; angles 90.00, 90.00, 90.00 degrees
Space group P4/mmm (No. 123)
Inequivalent atoms, fractional coordinates:
Zr1 0.000 0.500 0.000 [2 per cell]
Tl1 0.000 0.000 0.500 [1 per cell]
V1 0.500 0.500 0.500 [1 per cell]
H1 0.500 0.500 0.000 [1 per cell]